Entry from Alexandria: CaZnAg after structural relaxation (GGA-PBE).

As for the formation energy: -0.273 eV per atom. Its calculated total energy is -2.315 eV/atom.

Geometry as CIF:
```
data_CaZnAg
_chemical_formula_sum 'Ca4 Zn4 Ag4'
_cell_length_a 6.037
_cell_length_b 5.840
_cell_length_c 8.430
_cell_angle_alpha 90.00
_cell_angle_beta 111.88
_cell_angle_gamma 90.00
_symmetry_space_group_name_H-M 'P 1 21/c 1'
_symmetry_Int_Tables_number 14
loop_
_symmetry_equiv_pos_as_xyz
'x,y,z'
'-x,-y,-z'
'-x,y+1/2,-z+1/2'
'x,-y+1/2,z+1/2'
loop_
_atom_site_label
_atom_site_type_symbol
_atom_site_fract_x
_atom_site_fract_y
_atom_site_fract_z
Ca1 Ca 0.198 0.128 0.373
Zn1 Zn 0.398 0.603 0.282
Ag1 Ag 0.209 0.625 0.521
```